No. 1
15
Lattice="6.754 0.000 0.000 -3.377 5.849 -0.022 0.000 -3.877 6.296" Properties=species:S:1:pos:R:3 comment="K3Ho3ReO8 PBE-GGA optimized geometry" e_form_raw_mev_per_atom=-2477 pbc="T T T"
K 0.000 0.000 0.000
K -1.688 2.924 -0.011
K 1.688 2.925 -0.011
Ho 3.377 -1.938 3.148
Ho 1.688 0.986 3.137
Ho -1.688 0.986 3.137
Re 0.000 -1.938 3.148
O 0.000 1.957 1.992
O 3.377 0.016 4.282
O 3.377 2.101 2.046
O 0.000 -0.129 4.229
O 5.190 -1.040 2.057
O -1.813 3.012 4.217
O 1.563 -1.040 2.058
O 1.813 3.012 4.217


No. 2
8
Lattice="4.283 0.000 0.000 0.000 7.480 0.155 0.000 -2.594 6.996" Properties=species:S:1:pos:R:3 comment="LiDyTm2Te4 PBE-GGA optimized geometry" e_form_raw_mev_per_atom=-1264 pbc="T T T"
Li 0.000 0.000 0.000
Dy 2.141 3.740 0.077
Tm 2.141 -1.297 3.498
Tm 0.000 2.443 3.576
Te 2.141 1.180 1.759
Te 2.141 3.706 5.392
Te 0.000 -0.129 5.292
Te 0.000 5.016 1.859


No. 3
20
Lattice="-0.609 -6.006 -4.202 -1.345 -2.441 6.806 -8.705 1.667 -1.122" Properties=species:S:1:pos:R:3 comment="CeInPt3 PBE-GGA optimized geometry" formation_enthalpy_0k_ev_per_atom=-0.564 pbc="T T T"
Ce -4.108 -7.935 2.295
Ce -6.551 1.156 -0.812
Ce -2.976 -3.039 0.785
Ce -7.683 -3.740 0.698
In -0.304 -3.003 -2.101
In -4.657 -2.169 -2.662
In -0.672 -1.221 3.403
In -5.025 -0.387 2.842
Pt -3.443 -5.907 0.150
Pt -7.216 -0.873 1.333
Pt -7.031 -1.767 -1.430
Pt -3.628 -5.012 2.913
Pt -4.684 -0.971 0.001
Pt -10.162 -5.006 0.942
Pt -5.975 -5.808 1.481
Pt -0.496 -1.773 0.541
Pt -1.073 -3.756 2.746
Pt -5.233 -3.857 -0.703
Pt -0.880 -4.691 -0.142
Pt -5.426 -2.922 2.185


No. 4
5
Lattice="-4.577 -2.219 1.543 1.481 -4.598 -2.217 2.261 -1.479 4.578" Properties=species:S:1:pos:R:3 comment="Pb3WS PBE-GGA optimized geometry" e_form_raw_mev_per_atom=1426 pbc="T T T"
Pb 0.741 -2.299 -1.109
Pb 1.130 -0.740 2.289
Pb -2.289 -1.109 0.772
S 0.000 0.000 0.000
W -0.418 -4.148 1.952


No. 5
12
Lattice="-1.665 -3.704 -0.758 7.097 -1.881 -6.404 2.384 -2.992 9.389" Properties=species:S:1:pos:R:3 comment="CsYCuSe3 PBE-GGA optimized geometry" e_form_raw_mev_per_atom=-1198 pbc="T T T"
Cs 1.699 -2.072 0.766
Cs 6.117 -6.504 1.461
Y 4.696 -2.610 -3.191
Y 3.120 -5.966 5.417
Cu 1.630 -2.909 5.007
Cu 6.186 -5.668 -2.780
Se 5.308 -4.842 -4.886
Se 2.508 -3.734 7.113
Se 6.484 -3.825 -1.182
Se 1.332 -4.752 3.409
Se 2.531 -4.164 -2.100
Se 5.285 -4.413 4.327


No. 6
28
Lattice="-5.457 -6.844 0.948 2.404 -6.088 10.775 -9.539 3.006 7.675" Properties=species:S:1:pos:R:3 comment="Rb7VSe6 PBE-GGA optimized geometry" e_form_raw_mev_per_atom=-1032 pbc="T T T"
Rb -13.059 -2.307 8.479
Rb 0.467 -7.620 10.918
Rb -7.342 -7.173 10.073
Rb -5.250 -2.753 9.324
Rb -2.688 -6.397 8.134
Rb -9.501 -4.433 7.059
Rb -7.934 0.470 10.592
Rb -5.061 -9.493 13.009
Rb -9.904 -3.530 11.263
Rb -3.092 -5.493 12.338
Rb -4.658 -10.397 8.805
Rb -7.531 -0.434 6.388
Rb -3.148 -2.482 4.849
Rb -9.444 -7.445 14.548
V -5.877 -5.904 5.323
V -6.716 -4.023 14.074
Se -3.853 -5.891 4.223
Se -7.666 -6.442 3.976
Se -5.801 -7.514 6.968
Se -6.187 -3.767 6.126
Se -8.739 -4.035 15.174
Se -4.927 -3.484 15.421
Se -6.791 -2.412 12.429
Se -6.406 -6.160 13.271
Se -2.014 -3.588 9.813
Se -10.579 -6.339 9.584
Se -9.858 -1.389 8.589
Se -2.735 -8.538 10.808


No. 7
16
Lattice="-3.207 -6.929 -3.609 4.479 1.573 -7.000 3.903 -0.551 7.470" Properties=species:S:1:pos:R:3 comment="Ac4La3PrS8 PBE-GGA optimized geometry" e_form_raw_mev_per_atom=-2067 pbc="T T T"
Ac -1.604 -3.465 -1.805
Ac 0.348 -3.740 1.930
Ac 0.000 0.000 0.000
Ac 1.952 -0.275 3.735
La 0.636 -2.678 -5.305
La 2.588 -2.953 -1.570
La 4.191 0.511 0.235
Pr 2.240 0.787 -3.500
S 6.399 -1.089 1.356
S 4.443 -0.813 -2.387
S 2.331 -1.626 1.050
S 4.792 -4.561 -0.453
S 0.383 -1.345 -2.687
S 2.845 -4.281 -4.189
S 0.732 -5.094 -0.752
S -1.224 -4.818 -4.496


No. 8
4
Lattice="6.338 -0.277 0.000 3.544 5.262 0.000 -4.941 -2.493 3.102" Properties=species:S:1:pos:R:3 comment="K2MnSi PBE-GGA optimized geometry" e_form_raw_mev_per_atom=760 pbc="T T T"
K 0.000 0.000 0.000
K 4.941 2.493 0.000
Mn 1.772 2.631 1.551
Si 3.169 -0.138 1.551